LaYI3: optimized geometry, PBE-GGA.

abc: 6.2567 6.2567 6.2567
angles: 90.00 90.00 90.00
With the nearest neighbours (Å) after each atom.
Fractional positions:
I1 0.0000 0.5000 0.0000  2 La 3.13
I2 0.0000 0.0000 0.5000  2 La 3.13
I3 0.5000 0.0000 0.0000  2 La 3.13
Y1 0.5000 0.5000 0.5000  12 I 4.42
La1 0.0000 0.0000 0.0000  6 I 3.13

Output
Final energy = -3.64 eV per atom
Mass density = 4.126 g/cm³